# 1
The following is a DFT calculation (PBE) of crystalline MgScSe2N at its relaxed geometry.

Summary:
* density of states at the Fermi level: 2.00 states/eV/f.u.
* energy relative to the lowest polymorph listed for this composition: 227.3 meV per atom
* space group: P4/mmm (123)

Cell: 5.085 5.085 3.926 Å, 90.00 90.00 90.00°
Atoms (fractional coordinates):
N 0.000 0.000 0.500
Sc 0.500 0.500 0.500
Se 0.000 0.500 0.000
Mg 0.000 0.000 0.000
Se 0.500 0.000 0.000

---

# 2
The following is a DFT calculation (PBE) of crystalline Mg2ScSnN at its relaxed geometry.

Summary:
* density of states at the Fermi level: 0.55 states/eV/f.u.
* space group: P4/mmm (123)

Cell: 4.365 4.365 4.470 Å, 90.00 90.00 90.00°
Atoms (fractional coordinates):
N 0.000 0.000 0.000
Mg 0.500 0.000 0.000
Mg 0.000 0.500 0.000
Sn 0.500 0.500 0.500
Sc 0.000 0.000 0.500

---

# 3
The following is a DFT calculation (PBE) of crystalline MgSc2SnN at its relaxed geometry.

Summary:
* density of states at the Fermi level: 1.72 states/eV/f.u.
* space group: P4/mmm (123)

Cell: 4.471 4.471 4.361 Å, 90.00 90.00 90.00°
Atoms (fractional coordinates):
Sn 0.500 0.500 0.500
Mg 0.000 0.000 0.500
Sc 0.500 0.000 0.000
Sc 0.000 0.500 0.000
N 0.000 0.000 0.000

---

# 4
The following is a DFT calculation (PBE) of crystalline MgSc2TaN at its relaxed geometry.

Summary:
* density of states at the Fermi level: 3.10 states/eV/f.u.
* space group: P4/mmm (123)

Cell: 4.506 4.506 4.261 Å, 90.00 90.00 90.00°
Atoms (fractional coordinates):
Sc 0.500 0.000 0.000
N 0.000 0.000 0.000
Mg 0.500 0.500 0.500
Sc 0.000 0.500 0.000
Ta 0.000 0.000 0.500

---

# 5
The following is a DFT calculation (PBE) of crystalline MgScTa2N4 at its relaxed geometry.

Summary:
* density of states at the Fermi level: 2.32 states/eV/f.u.
* space group: P2/m (10)

Cell: 3.093 5.352 5.503 Å, 108.94 90.00 90.00°
Atoms (fractional coordinates):
Ta 0.500 0.000 0.500
N 0.000 0.756 0.254
N 0.000 0.244 0.746
Mg 0.000 0.000 0.000
Ta 0.000 0.500 0.500
N 0.500 0.249 0.256
N 0.500 0.751 0.744
Sc 0.500 0.500 0.000

---

# 6
The following is a DFT calculation (PBE) of crystalline Mg2ScTaN4 at its relaxed geometry.

Summary:
* density of states at the Fermi level: 0.00 states/eV/f.u.
* space group: P2/m (10)

Cell: 3.138 5.441 5.397 Å, 109.30 90.00 90.00°
Atoms (fractional coordinates):
Mg 0.000 0.500 0.500
Mg 0.500 0.000 0.500
Sc 0.500 0.500 0.000
N 0.500 0.766 0.766
N 0.000 0.759 0.235
Ta 0.000 0.000 0.000
N 0.000 0.241 0.765
N 0.500 0.234 0.234

---

# 7
The following is a DFT calculation (PBE) of crystalline MgSc2Ta3N6 at its relaxed geometry.

Summary:
* density of states at the Fermi level: 3.31 states/eV/f.u.
* space group: C2/m (12)

Cell: 5.387 5.387 5.498 Å, 99.32 99.32 120.24°
Atoms (fractional coordinates):
Mg 0.000 0.000 0.000
N 0.416 0.085 0.260
Sc 0.666 0.334 0.000
N 0.085 0.416 0.260
Ta 0.156 0.844 0.500
N 0.915 0.584 0.740
Sc 0.334 0.666 0.000
Ta 0.844 0.156 0.500
N 0.245 0.245 0.755
N 0.755 0.755 0.245
Ta 0.500 0.500 0.500
N 0.584 0.915 0.740

---

# 8
The following is a DFT calculation (PBE) of crystalline MgScTe2N at its relaxed geometry.

Summary:
* density of states at the Fermi level: 3.13 states/eV/f.u.
* energy relative to the lowest polymorph listed for this composition: 0.0 meV per atom
* space group: P4/mmm (123)

Cell: 5.789 5.789 3.896 Å, 90.00 90.00 90.00°
Atoms (fractional coordinates):
N 0.000 0.000 0.500
Mg 0.500 0.500 0.500
Te 0.500 0.000 0.000
Sc 0.000 0.000 0.000
Te 0.000 0.500 0.000

---

# 9
The following is a DFT calculation (PBE) of crystalline MgScTe2N at its relaxed geometry.

Summary:
* density of states at the Fermi level: 2.95 states/eV/f.u.
* energy relative to the lowest polymorph listed for this composition: 253.3 meV per atom
* space group: P4/mmm (123)

Cell: 5.548 5.548 3.940 Å, 90.00 90.00 90.00°
Atoms (fractional coordinates):
N 0.000 0.000 0.500
Te 0.500 0.000 0.000
Mg 0.000 0.000 0.000
Te 0.000 0.500 0.000
Sc 0.500 0.500 0.500

---

# 10
The following is a DFT calculation (PBE) of crystalline MgSc2TlN at its relaxed geometry.

Summary:
* density of states at the Fermi level: 1.49 states/eV/f.u.
* space group: P4/mmm (123)

Cell: 4.472 4.472 4.389 Å, 90.00 90.00 90.00°
Atoms (fractional coordinates):
Sc 0.500 0.000 0.000
N 0.000 0.000 0.000
Tl 0.500 0.500 0.500
Mg 0.000 0.000 0.500
Sc 0.000 0.500 0.000

---

# 11
The following is a DFT calculation (PBE) of crystalline Mg3Sc2UN6 at its relaxed geometry.

Summary:
* space group: C2/m (12)

Cell: 5.627 5.627 5.467 Å, 99.80 99.80 120.06°
Atoms (fractional coordinates):
N 0.753 0.753 0.232
N 0.921 0.595 0.762
Sc 0.334 0.666 0.000
Sc 0.666 0.334 0.000
N 0.405 0.079 0.238
N 0.079 0.405 0.238
N 0.247 0.247 0.768
Mg 0.829 0.171 0.500
Mg 0.171 0.829 0.500
U 0.000 0.000 0.000
Mg 0.500 0.500 0.500
N 0.595 0.921 0.762

---

# 12
The following is a DFT calculation (PBE) of crystalline Y2MgScN at its relaxed geometry.

Summary:
* density of states at the Fermi level: 3.35 states/eV/f.u.
* space group: P4/mmm (123)

Cell: 4.964 4.964 4.405 Å, 90.00 90.00 90.00°
Atoms (fractional coordinates):
Y 0.500 0.000 0.000
Y 0.000 0.500 0.000
Sc 0.000 0.000 0.500
Mg 0.500 0.500 0.500
N 0.000 0.000 0.000

---

Number 1: uncorrected formation energy -0.045 eV/atom. Number 2: uncorrected formation energy -0.784 eV/atom. Number 3: uncorrected formation energy -0.987 eV/atom. Number 4: uncorrected formation energy -0.631 eV/atom. Number 5: uncorrected formation energy -1.310 eV/atom. Number 6: uncorrected formation energy -1.287 eV/atom. Number 7: uncorrected formation energy -1.394 eV/atom. Number 8: uncorrected formation energy -0.073 eV/atom. Number 9: uncorrected formation energy 0.180 eV/atom. Number 10: uncorrected formation energy -0.861 eV/atom. Number 11: uncorrected formation energy -1.363 eV/atom. Number 12: uncorrected formation energy -0.757 eV/atom.